# Tb3Si3Ni

An optimized crystal structure of Tb3Si3Ni (PBE, Alexandria).

a = 9.226 Å, b = 9.226 Å, c = 9.226 Å
α = 155.29°, β = 153.88°, γ = 36.26°
Element x y z (fractional)
Tb1 0.000 0.000 0.000
Tb2 0.180 0.680 0.500
Tb3 0.366 0.366 0.000
Si1 0.543 0.543 0.000
Si2 0.741 0.241 0.500
Si3 0.825 0.825 0.000
Ni1 0.614 0.114 0.500

Output
VASP energy in eV/atom: -5.92
Formation energy from raw total energies in eV per atom: -0.783
Symmetry: Imm2
Crystal system: orthorhombic

***

# Tb2Si3Ni5

An optimized crystal structure of Tb2Si3Ni5 (PBE, Alexandria).

a = 11.609 Å, b = 11.609 Å, c = 6.725 Å
α = 90.00°, β = 90.00°, γ = 160.34°
Element x y z (fractional)
Tb1 0.051 0.949 0.500
Tb2 0.338 0.662 0.686
Tb3 0.662 0.338 0.186
Tb4 0.949 0.051 0.000
Si1 0.135 0.865 0.823
Si2 0.260 0.740 0.266
Si3 0.470 0.530 0.674
Si4 0.530 0.470 0.174
Si5 0.740 0.260 0.766
Si6 0.865 0.135 0.323
Ni1 0.072 0.928 0.081
Ni2 0.209 0.791 0.564
Ni3 0.230 0.770 0.945
Ni4 0.354 0.646 0.136
Ni5 0.441 0.559 0.340
Ni6 0.559 0.441 0.840
Ni7 0.646 0.354 0.636
Ni8 0.770 0.230 0.445
Ni9 0.791 0.209 0.064
Ni10 0.928 0.072 0.581

Output
VASP energy in eV/atom: -6.12
Formation energy from raw total energies in eV per atom: -0.677
Symmetry: Cmc2_1
Crystal system: orthorhombic

***

# TbSi3TcNi

An optimized crystal structure of TbSi3TcNi (PBE, Alexandria).

a = 6.567 Å, b = 6.567 Å, c = 5.453 Å
α = 90.00°, β = 90.00°, γ = 111.75°
Element x y z (fractional)
Tb1 0.249 0.751 0.750
Tb2 0.751 0.249 0.250
Si1 0.256 0.256 0.000
Si2 0.256 0.256 0.500
Si3 0.267 0.733 0.250
Si4 0.733 0.267 0.750
Si5 0.744 0.744 0.000
Si6 0.744 0.744 0.500
Tc1 0.060 0.940 0.250
Tc2 0.940 0.060 0.750
Ni1 0.461 0.539 0.250
Ni2 0.539 0.461 0.750

Output
VASP energy in eV/atom: -6.50
Formation energy from raw total energies in eV per atom: -0.327
Symmetry: Cmcm
Crystal system: orthorhombic

***

# TbTmSiNi

An optimized crystal structure of TbTmSiNi (PBE, Alexandria).

a = 4.861 Å, b = 4.861 Å, c = 4.861 Å
α = 60.00°, β = 60.00°, γ = 60.00°
Element x y z (fractional)
Tb1 0.000 0.000 0.000
Tm1 0.500 0.500 0.500
Si1 0.750 0.750 0.750
Ni1 0.250 0.250 0.250

Output
VASP energy in eV/atom: -5.56
Formation energy from raw total energies in eV per atom: -0.484
Symmetry: F-43m
Crystal system: cubic

***

# TbTmSiNi

An optimized crystal structure of TbTmSiNi (PBE, Alexandria).

a = 4.035 Å, b = 5.633 Å, c = 5.633 Å
α = 40.97°, β = 90.00°, γ = 90.00°
Element x y z (fractional)
Tb1 0.000 0.000 0.000
Tm1 0.500 0.280 0.280
Si1 0.000 0.712 0.712
Ni1 0.500 0.577 0.577

Output
VASP energy in eV/atom: -5.72
Formation energy from raw total energies in eV per atom: -0.644
Symmetry: Amm2
Crystal system: orthorhombic

***

# TbYSiNi

An optimized crystal structure of TbYSiNi (PBE, Alexandria).

a = 4.040 Å, b = 5.694 Å, c = 5.694 Å
α = 41.04°, β = 90.00°, γ = 90.00°
Element x y z (fractional)
Tb1 0.000 0.000 0.000
Y1 0.500 0.280 0.280
Si1 0.000 0.708 0.708
Ni1 0.500 0.574 0.574

Output
VASP energy in eV/atom: -6.21
Formation energy from raw total energies in eV per atom: -0.639
Symmetry: Amm2
Crystal system: orthorhombic

***

# TbYSiNi

An optimized crystal structure of TbYSiNi (PBE, Alexandria).

a = 4.905 Å, b = 4.905 Å, c = 4.905 Å
α = 60.00°, β = 60.00°, γ = 60.00°
Element x y z (fractional)
Tb1 0.000 0.000 0.000
Y1 0.500 0.500 0.500
Si1 0.750 0.750 0.750
Ni1 0.250 0.250 0.250

Output
VASP energy in eV/atom: -6.05
Formation energy from raw total energies in eV per atom: -0.471
Symmetry: F-43m
Crystal system: cubic

***

# Tb2ZnSi2Ni5

An optimized crystal structure of Tb2ZnSi2Ni5 (PBE, Alexandria).

a = 9.626 Å, b = 9.626 Å, c = 3.261 Å
α = 90.00°, β = 90.00°, γ = 90.00°
Element x y z (fractional)
Tb1 0.179 0.321 0.000
Tb2 0.321 0.821 0.000
Tb3 0.679 0.179 0.000
Tb4 0.821 0.679 0.000
Zn1 0.000 0.000 0.000
Zn2 0.500 0.500 0.000
Si1 0.118 0.618 0.000
Si2 0.382 0.118 0.000
Si3 0.618 0.882 0.000
Si4 0.882 0.382 0.000
Ni1 0.000 0.500 0.500
Ni2 0.058 0.785 0.500
Ni3 0.215 0.058 0.500
Ni4 0.285 0.558 0.500
Ni5 0.442 0.285 0.500
Ni6 0.500 0.000 0.500
Ni7 0.558 0.715 0.500
Ni8 0.715 0.442 0.500
Ni9 0.785 0.942 0.500
Ni10 0.942 0.215 0.500

Output
VASP energy in eV/atom: -5.45
Formation energy from raw total energies in eV per atom: -0.421
Symmetry: P4/mbm
Crystal system: tetragonal

***

# TbZn2SiNi4

An optimized crystal structure of TbZn2SiNi4 (PBE, Alexandria).

a = 8.413 Å, b = 8.413 Å, c = 8.413 Å
α = 27.81°, β = 27.81°, γ = 27.81°
Element x y z (fractional)
Tb1 0.000 0.000 0.000
Zn1 0.244 0.244 0.244
Zn2 0.756 0.756 0.756
Si1 0.500 0.500 0.500
Ni1 0.136 0.136 0.136
Ni2 0.407 0.407 0.407
Ni3 0.593 0.593 0.593
Ni4 0.864 0.864 0.864

Output
VASP energy in eV/atom: -4.84
Formation energy from raw total energies in eV per atom: -0.371
Symmetry: R-3m
Crystal system: trigonal

***

# TbZnSi2Ni

An optimized crystal structure of TbZnSi2Ni (PBE, Alexandria).

a = 5.780 Å, b = 5.780 Å, c = 5.780 Å
α = 139.72°, β = 139.72°, γ = 58.28°
Element x y z (fractional)
Tb1 0.000 0.000 0.000
Zn1 0.750 0.250 0.500
Si1 0.383 0.383 0.000
Si2 0.617 0.617 0.000
Ni1 0.250 0.750 0.500

Output
VASP energy in eV/atom: -5.16
Formation energy from raw total energies in eV per atom: -0.653
Symmetry: I-4m2
Crystal system: tetragonal

***

# Tb2ZnSi3Ni12

An optimized crystal structure of Tb2ZnSi3Ni12 (PBE, Alexandria).

a = 6.266 Å, b = 6.266 Å, c = 6.266 Å
α = 84.45°, β = 84.45°, γ = 84.45°
Element x y z (fractional)
Tb1 0.154 0.154 0.154
Tb2 0.846 0.846 0.846
Zn1 0.500 0.500 0.500
Si1 0.000 0.500 0.500
Si2 0.500 0.000 0.500
Si3 0.500 0.500 0.000
Ni1 0.115 0.115 0.598
Ni2 0.115 0.598 0.115
Ni3 0.203 0.686 0.686
Ni4 0.314 0.314 0.797
Ni5 0.314 0.797 0.314
Ni6 0.402 0.885 0.885
Ni7 0.598 0.115 0.115
Ni8 0.686 0.203 0.686
Ni9 0.686 0.686 0.203
Ni10 0.797 0.314 0.314
Ni11 0.885 0.402 0.885
Ni12 0.885 0.885 0.402

Output
VASP energy in eV/atom: -5.52
Formation energy from raw total energies in eV per atom: -0.180
Symmetry: R-3m
Crystal system: trigonal

***

# Tb2ZnSi4Ni3

An optimized crystal structure of Tb2ZnSi4Ni3 (PBE, Alexandria).

a = 3.988 Å, b = 3.988 Å, c = 9.728 Å
α = 90.00°, β = 90.00°, γ = 90.00°
Element x y z (fractional)
Tb1 0.000 0.500 0.243
Tb2 0.500 0.000 0.757
Zn1 0.000 0.000 0.500
Si1 0.000 0.000 0.000
Si2 0.000 0.500 0.644
Si3 0.500 0.000 0.356
Si4 0.500 0.500 0.000
Ni1 0.000 0.500 0.880
Ni2 0.500 0.000 0.120
Ni3 0.500 0.500 0.500

Output
VASP energy in eV/atom: -5.72
Formation energy from raw total energies in eV per atom: -0.763
Symmetry: P-4m2
Crystal system: tetragonal

***

# SiTcNi2

An optimized crystal structure of SiTcNi2 (PBE, Alexandria).

a = 8.138 Å, b = 8.138 Å, c = 8.138 Å
α = 18.74°, β = 18.74°, γ = 18.74°
Element x y z (fractional)
Si1 0.000 0.000 0.000
Tc1 0.500 0.500 0.500
Ni1 0.256 0.256 0.256
Ni2 0.744 0.744 0.744

Output
VASP energy in eV/atom: -6.95
Formation energy from raw total energies in eV per atom: -0.114
Symmetry: R-3m
Crystal system: trigonal

***

# SiTcNi2

An optimized crystal structure of SiTcNi2 (PBE, Alexandria).

a = 4.816 Å, b = 4.816 Å, c = 4.816 Å
α = 145.31°, β = 130.12°, γ = 62.18°
Element x y z (fractional)
Si1 0.000 0.000 0.000
Tc1 0.500 0.500 0.000
Ni1 0.229 0.729 0.500
Ni2 0.771 0.271 0.500

Output
VASP energy in eV/atom: -7.08
Formation energy from raw total energies in eV per atom: -0.241
Symmetry: Immm
Crystal system: orthorhombic

***

# SiTcNi2

An optimized crystal structure of SiTcNi2 (PBE, Alexandria).

a = 2.599 Å, b = 3.602 Å, c = 5.145 Å
α = 90.00°, β = 90.00°, γ = 90.00°
Element x y z (fractional)
Si1 0.000 0.000 0.000
Tc1 0.000 0.000 0.500
Ni1 0.500 0.500 0.238
Ni2 0.500 0.500 0.762

Output
VASP energy in eV/atom: -6.99
Formation energy from raw total energies in eV per atom: -0.156
Symmetry: Pmmm
Crystal system: orthorhombic

***

# SiTcNi

An optimized crystal structure of SiTcNi (PBE, Alexandria).

a = 2.727 Å, b = 2.727 Å, c = 5.957 Å
α = 90.00°, β = 90.00°, γ = 120.00°
Element x y z (fractional)
Si1 0.000 0.000 0.000
Tc1 0.667 0.333 0.339
Ni1 0.333 0.667 0.701

Output
VASP energy in eV/atom: -7.31
Formation energy from raw total energies in eV per atom: -0.117
Symmetry: P3m1
Crystal system: trigonal

***

# SiTcNi6

An optimized crystal structure of SiTcNi6 (PBE, Alexandria).

a = 6.182 Å, b = 6.182 Å, c = 10.087 Å
α = 90.00°, β = 90.00°, γ = 109.60°
Element x y z (fractional)
Si1 0.000 0.000 0.247
Si2 0.000 0.000 0.753
Si3 0.255 0.745 0.000
Si4 0.745 0.255 0.000
Tc1 0.255 0.745 0.500
Tc2 0.500 0.500 0.249
Tc3 0.500 0.500 0.751
Tc4 0.745 0.255 0.500
Ni1 0.000 0.000 0.000
Ni2 0.000 0.000 0.500
Ni3 0.120 0.368 0.371
Ni4 0.120 0.368 0.629
Ni5 0.121 0.372 0.122
Ni6 0.121 0.372 0.878
Ni7 0.249 0.751 0.245
Ni8 0.249 0.751 0.755
Ni9 0.368 0.120 0.371
Ni10 0.368 0.120 0.629
Ni11 0.372 0.121 0.122
Ni12 0.372 0.121 0.878
Ni13 0.500 0.500 0.000
Ni14 0.500 0.500 0.500
Ni15 0.628 0.879 0.122
Ni16 0.628 0.879 0.878
Ni17 0.632 0.880 0.371
Ni18 0.632 0.880 0.629
Ni19 0.751 0.249 0.245
Ni20 0.751 0.249 0.755
Ni21 0.879 0.628 0.122
Ni22 0.879 0.628 0.878
Ni23 0.880 0.632 0.371
Ni24 0.880 0.632 0.629

Output
VASP energy in eV/atom: -6.46
Formation energy from raw total energies in eV per atom: -0.148
Symmetry: Cmmm
Crystal system: orthorhombic

***

# SiTcNi2

An optimized crystal structure of SiTcNi2 (PBE, Alexandria).

a = 9.005 Å, b = 9.005 Å, c = 9.005 Å
α = 157.74°, β = 157.74°, γ = 31.68°
Element x y z (fractional)
Si1 0.000 0.000 0.000
Si2 0.750 0.250 0.500
Tc1 0.250 0.750 0.500
Tc2 0.500 0.500 0.000
Ni1 0.114 0.625 0.989
Ni2 0.375 0.364 0.489
Ni3 0.636 0.125 0.011
Ni4 0.875 0.886 0.511

Output
VASP energy in eV/atom: -6.66
Formation energy from raw total energies in eV per atom: 0.175
Symmetry: I-42d
Crystal system: tetragonal

***

# SiTcNi

An optimized crystal structure of SiTcNi (PBE, Alexandria).

a = 3.909 Å, b = 3.909 Å, c = 3.909 Å
α = 60.00°, β = 60.00°, γ = 60.00°
Element x y z (fractional)
Si1 0.000 0.000 0.000
Tc1 0.750 0.750 0.750
Ni1 0.250 0.250 0.250

Output
VASP energy in eV/atom: -7.36
Formation energy from raw total energies in eV per atom: -0.172
Symmetry: F-43m
Crystal system: cubic

***

# SiTcNi2

An optimized crystal structure of SiTcNi2 (PBE, Alexandria).

a = 3.089 Å, b = 3.874 Å, c = 4.020 Å
α = 90.00°, β = 90.00°, γ = 90.00°
Element x y z (fractional)
Si1 0.000 0.000 0.000
Tc1 0.500 0.500 0.000
Ni1 0.000 0.500 0.500
Ni2 0.500 0.000 0.500

Output
VASP energy in eV/atom: -7.10
Formation energy from raw total energies in eV per atom: -0.258
Symmetry: Pmmm
Crystal system: orthorhombic

***

# SiTcNi2

An optimized crystal structure of SiTcNi2 (PBE, Alexandria).

a = 4.489 Å, b = 4.489 Å, c = 4.489 Å
α = 132.51°, β = 132.51°, γ = 69.43°
Element x y z (fractional)
Si1 0.000 0.000 0.000
Tc1 0.500 0.500 0.000
Ni1 0.250 0.750 0.500
Ni2 0.750 0.250 0.500

Output
VASP energy in eV/atom: -7.01
Formation energy from raw total energies in eV per atom: -0.169
Symmetry: I4/mmm
Crystal system: tetragonal

***

# SiTcNi2

An optimized crystal structure of SiTcNi2 (PBE, Alexandria).

a = 3.791 Å, b = 5.003 Å, c = 5.003 Å
α = 30.74°, β = 90.00°, γ = 90.00°
Element x y z (fractional)
Si1 0.000 0.000 0.000
Tc1 0.500 0.614 0.614
Ni1 0.000 0.260 0.260
Ni2 0.500 0.870 0.870

Output
VASP energy in eV/atom: -7.07
Formation energy from raw total energies in eV per atom: -0.235
Symmetry: Amm2
Crystal system: orthorhombic

***

# SiTcNi

An optimized crystal structure of SiTcNi (PBE, Alexandria).

a = 4.483 Å, b = 4.483 Å, c = 5.253 Å
α = 118.72°, β = 118.72°, γ = 60.26°
Element x y z (fractional)
Si1 0.000 0.000 0.000
Si2 0.822 0.178 0.500
Tc1 0.317 0.330 0.975
Tc2 0.670 0.683 0.025
Ni1 0.192 0.459 0.485
Ni2 0.541 0.808 0.515

Output
VASP energy in eV/atom: -7.47
Formation energy from raw total energies in eV per atom: -0.279
Symmetry: C2
Crystal system: monoclinic

***

# SiTcNi

An optimized crystal structure of SiTcNi (PBE, Alexandria).

a = 4.651 Å, b = 4.651 Å, c = 4.651 Å
α = 119.62°, β = 117.71°, γ = 92.34°
Element x y z (fractional)
Si1 0.000 0.000 0.000
Si2 0.500 0.000 0.500
Tc1 0.375 0.625 0.750
Tc2 0.625 0.375 0.250
Ni1 0.000 0.000 0.500
Ni2 0.000 0.500 0.000

Output
VASP energy in eV/atom: -7.56
Formation energy from raw total energies in eV per atom: -0.373
Symmetry: Imma
Crystal system: orthorhombic